(1)
VASP calculation (PBE) on a relaxed structure of ZrNb2Co2.

Summary:
N(E_F) in states/eV/cell: 4.90
Excess energy over the best structure of this formula in the dataset in meV per atom: 353.6
Formation enthalpy at 0 K in meV per atom: 270

Unit cell a=3.869 b=3.869 c=6.401 alpha=72.41 beta=72.41 gamma=90.00
Fractional positions:
Co  0.250  0.750  0.500
Nb  0.621  0.621  0.758
Co  0.750  0.250  0.500
Zr  0.000  0.000  0.000
Nb  0.379  0.379  0.242

(2)
VASP calculation (PBE) on a relaxed structure of CsKNiI4.

Summary:
N(E_F) in states/eV/cell: 2.97

Unit cell a=7.489 b=8.207 c=10.995 alpha=90.00 beta=111.32 gamma=90.00
Fractional positions:
I  0.374  0.750  0.558
Ni  0.218  0.750  0.310
K  0.785  0.750  0.452
I  0.371  0.750  0.135
Cs  0.264  0.250  0.072
I  0.626  0.250  0.442
I  0.012  0.004  0.743
Ni  0.782  0.250  0.690
I  0.988  0.504  0.257
I  0.012  0.496  0.743
K  0.215  0.250  0.548
I  0.629  0.250  0.865
I  0.988  0.996  0.257
Cs  0.736  0.750  0.928

(3)
VASP calculation (PBE) on a relaxed structure of LaErTmTe3.

Summary:
N(E_F) in states/eV/cell: 9.33

Unit cell a=4.317 b=8.587 c=10.792 alpha=107.09 beta=90.00 gamma=90.00
Fractional positions:
Te  0.250  0.095  0.896
La  0.750  0.814  0.778
Te  0.750  0.229  0.458
Te  0.250  0.518  0.801
Te  0.250  0.771  0.542
Te  0.750  0.482  0.199
Te  0.750  0.905  0.104
Tm  0.250  0.664  0.097
Er  0.250  0.150  0.623
Tm  0.750  0.336  0.903
La  0.250  0.186  0.222
Er  0.750  0.850  0.377

(4)
VASP calculation (PBE) on a relaxed structure of Li2ScMn.

Summary:
N(E_F) in states/eV/cell: 3.46
Excess energy over the best structure of this formula in the dataset in meV per atom: 126.0
Formation enthalpy at 0 K in meV per atom: 284

Unit cell a=5.790 b=5.790 c=2.968 alpha=77.53 beta=77.53 gamma=125.17
Fractional positions:
Mn  0.500  0.000  0.500
Li  0.000  0.000  0.000
Sc  0.000  0.500  0.500
Li  0.500  0.500  0.000

no.,E_tot (Ry/atom)
1,-0.61076
2,-0.21094
3,-0.37857
4,-0.33432